[1]
LiTcIr: optimized geometry, PBE-GGA.

Output
The formation enthalpy at 0 K comes out at -16 meV per atom. The calculation puts the density of states at the Fermi level at 2.60 states/eV/cell. The calculated total energy comes out at -21.2 eV/cell. For the relative energy among the computed polymorphs, the calculation gives 0.000 eV per formula unit.

Geometry as POSCAR:
```
LiTcIr
1.0
-2.517 0.418 3.290
3.093 -2.786 0.087
1.640 1.852 1.019
Ir Li Tc
1 1 1
Direct
0.000 0.000 0.032
0.667 0.333 0.313
0.333 0.667 0.655
```

---

[2]
Li2TcIr: optimized geometry, PBE-GGA.

Output
The formation enthalpy at 0 K comes out at -23 meV per atom. The calculation puts the density of states at the Fermi level at 1.99 states/eV/cell. The calculated total energy comes out at -23.1 eV/cell. For the relative energy among the computed polymorphs, the calculation gives 0.235 eV per formula unit.

Geometry as POSCAR:
```
Li2TcIr
1.0
2.693 0.000 0.000
0.000 3.984 0.000
0.000 0.000 5.455
Ir Li Tc
1 2 1
Direct
0.500 0.500 0.715
0.000 0.000 0.015
0.500 0.500 0.229
0.000 0.000 0.541
```

---

[3]
LiTc2Ir: optimized geometry, PBE-GGA.

Output
The formation enthalpy at 0 K comes out at 34 meV per atom. The calculation puts the density of states at the Fermi level at 2.99 states/eV/cell. The calculated total energy comes out at -31.4 eV/cell. For the relative energy among the computed polymorphs, the calculation gives 0.081 eV per formula unit.

Geometry as POSCAR:
```
LiTc2Ir
1.0
4.041 0.000 0.000
0.000 2.720 -0.006
0.000 2.740 5.015
Ir Li Tc
1 1 2
Direct
0.500 0.250 0.250
0.500 0.750 0.750
0.000 0.019 0.980
0.000 0.481 0.520
```

---

[4]
LiTc2Ir2: optimized geometry, PBE-GGA.

Output
The formation enthalpy at 0 K comes out at 18 meV per atom. The calculation puts the density of states at the Fermi level at 8.79 states/eV/cell. The calculated total energy comes out at -80.6 eV/cell. For the relative energy among the computed polymorphs, the calculation gives 0.151 eV per formula unit.

Geometry as POSCAR:
```
LiTc2Ir2
1.0
-7.194 1.611 -1.995
-2.221 -6.885 2.448
-0.455 1.023 2.466
Ir Tc Li
4 4 2
Direct
0.376 0.876 0.000
0.876 0.624 0.000
0.624 0.124 0.000
0.124 0.376 0.000
0.170 0.670 0.500
0.670 0.830 0.500
0.830 0.330 0.500
0.330 0.170 0.500
0.000 0.000 0.000
0.500 0.500 0.000
```

---

[5]
LiTcIr: optimized geometry, PBE-GGA.

Output
The formation enthalpy at 0 K comes out at 12 meV per atom. The calculation puts the density of states at the Fermi level at 1.61 states/eV/cell. The calculated total energy comes out at -21.1 eV/cell. For the relative energy among the computed polymorphs, the calculation gives 0.083 eV per formula unit.

Geometry as POSCAR:
```
LiTcIr
1.0
5.115 -0.004 0.000
3.476 3.752 0.000
-4.295 -1.874 2.049
Ir Li Tc
1 1 1
Direct
0.995 0.995 0.000
0.338 0.338 0.000
0.667 0.667 0.000
```

---

[6]
LiTc2Ir: optimized geometry, PBE-GGA.

Output
The formation enthalpy at 0 K comes out at 99 meV per atom. The calculation puts the density of states at the Fermi level at 3.53 states/eV/cell. The calculated total energy comes out at -31.1 eV/cell. For the relative energy among the computed polymorphs, the calculation gives 0.340 eV per formula unit.

Geometry as POSCAR:
```
LiTc2Ir
1.0
4.879 -0.006 -0.001
-2.363 4.269 -0.001
0.004 0.007 2.684
Ir Li Tc
1 1 2
Direct
0.500 0.000 0.500
0.000 0.500 0.500
0.000 0.000 0.000
0.500 0.500 0.000
```

---

[7]
Li2TcIr: optimized geometry, PBE-GGA.

Output
The formation enthalpy at 0 K comes out at 145 meV per atom. The calculation puts the density of states at the Fermi level at 3.65 states/eV/cell. The calculated total energy comes out at -22.5 eV/cell. For the relative energy among the computed polymorphs, the calculation gives 0.906 eV per formula unit.

Geometry as POSCAR:
```
Li2TcIr
1.0
-3.210 1.131 1.123
-1.440 -0.975 -3.133
-0.840 -4.004 1.632
Ir Li Tc
1 2 1
Direct
0.000 0.500 0.500
0.000 0.000 0.000
0.500 0.500 0.000
0.500 0.000 0.500
```

---

[8]
Li2TcIr: optimized geometry, PBE-GGA.

Output
The formation enthalpy at 0 K comes out at -28 meV per atom. The calculation puts the density of states at the Fermi level at 1.78 states/eV/cell. The calculated total energy comes out at -23.2 eV/cell. For the relative energy among the computed polymorphs, the calculation gives 0.213 eV per formula unit.

Geometry as POSCAR:
```
Li2TcIr
1.0
4.170 0.000 0.000
0.000 2.671 -0.111
0.000 1.021 5.100
Ir Li Tc
1 2 1
Direct
0.500 0.888 0.712
0.000 0.896 0.031
0.500 0.262 0.204
0.000 0.454 0.553
```

---

Which of these has the lowest relative energy among the computed polymorphs?
number 1

---

The highest calculated total energy belongs to which entry?
number 5